--- one ---
MnGaS2Cl | PBE-GGA | optimized geometry

Cell and atoms, written as extended XYZ:
```
5
Lattice="-3.630 -2.321 1.990 2.507 -4.028 -0.126 1.737 0.947 4.274" Properties=species:S:1:pos:R:3 pbc="T T T"
Mn 0.307 -2.701 3.069
Ga 0.000 0.000 0.000
S -1.815 -1.161 0.995
Cl 0.868 0.474 2.137
S 1.253 -2.014 -0.063
```

Summary:
As for the spin magnetization: 4.8 μB per cell.

--- two ---
MnGaS2Cl | PBE-GGA | optimized geometry

Cell and atoms, written as extended XYZ:
```
5
Lattice="4.592 0.000 0.000 0.000 4.592 0.000 0.000 0.000 4.989" Properties=species:S:1:pos:R:3 pbc="T T T"
Ga 2.296 2.296 2.495
Cl 0.000 0.000 2.495
S 0.000 2.296 0.000
S 2.296 0.000 0.000
Mn 0.000 0.000 0.000
```

Summary:
As for the spin magnetization: 3.5 μB per cell.

Energetically preferred structure: two | next structure: +0.310 eV/atom